(1)
First-principles (PBE) data for a relaxed Tm3BCl3 crystal, as listed in Alexandria via LeMat-Bulk.

```
14
Lattice="3.259 1.882 9.962 -3.259 1.882 9.962 0.000 -3.763 9.962" Properties=species:S:1:pos:R:3 pbc="T T T"
Tm -1.142 -1.978 13.530
Tm -2.284 0.000 16.355
Tm -1.142 1.978 13.530
Tm 1.142 -1.978 16.355
Tm 2.284 0.000 13.530
Tm 1.142 1.978 16.355
B 0.000 0.000 4.981
B 0.000 0.000 24.904
Cl -2.114 0.000 11.856
Cl -1.057 -1.831 18.028
Cl 1.057 -1.831 11.856
Cl -1.057 1.831 18.028
Cl 1.057 1.831 11.856
Cl 2.114 0.000 18.028
```

## Properties
Space group = R-3
Raw formation energy = -1.45 eV per atom
Energy = -71.62 eV for the cell shown

***

(2)
First-principles (PBE) data for a relaxed Ba8SrGa2 crystal, as listed in Alexandria via LeMat-Bulk.

```
11
Lattice="11.167 -2.859 0.000 11.167 2.859 0.000 -3.582 0.000 8.718" Properties=species:S:1:pos:R:3 pbc="T T T"
Ba 0.178 0.000 2.164
Ba 1.410 0.000 7.061
Ba 5.158 0.000 4.588
Ba 8.788 0.000 0.013
Ba 9.965 0.000 8.705
Ba 13.594 0.000 4.130
Ba 17.342 0.000 1.656
Ba 18.574 0.000 6.554
Sr 9.376 0.000 4.359
Ga 3.559 0.000 1.663
Ga 15.193 0.000 7.055
```

## Properties
Energy of formation = -1.1 eV/f.u.
Space group = C2/m
Energy = -24.26 eV for the cell shown

***

(3)
First-principles (PBE) data for a relaxed TcTeIN2 crystal, as listed in Alexandria via LeMat-Bulk.

```
5
Lattice="4.037 0.000 0.000 0.000 4.037 0.000 0.000 0.000 5.823" Properties=species:S:1:pos:R:3 pbc="T T T"
Tc 0.000 0.000 0.000
Te 0.000 0.000 2.912
I 2.019 2.019 2.912
N 0.000 2.019 0.000
N 2.019 0.000 0.000
```

## Properties
Distance to the lowest polymorph of the same formula = 0.0000 eV per atom
Space group = P4/mmm
Raw formation energy = 0.87 eV per atom
Energy = -27.38 eV for the cell shown

***

(4)
First-principles (PBE) data for a relaxed Sc2TaAu crystal, as listed in Alexandria via LeMat-Bulk.

```
4
Lattice="1.573 0.908 9.768 -1.573 0.908 9.768 0.000 -1.816 9.768" Properties=species:S:1:pos:R:3 pbc="T T T"
Sc 0.000 0.000 0.000
Sc 0.000 0.000 6.892
Ta 0.000 0.000 21.893
Au 0.000 0.000 14.405
```

## Properties
Distance to the lowest polymorph of the same formula = 0.3141 eV per atom
Energy of formation = 0.1 eV/f.u.
Space group = R3m
Energy = -27.73 eV for the cell shown

***

(5)
First-principles (PBE) data for a relaxed ZrTaRe2 crystal, as listed in Alexandria via LeMat-Bulk.

```
4
Lattice="3.232 0.000 0.000 0.000 4.491 0.000 0.000 0.000 4.705" Properties=species:S:1:pos:R:3 pbc="T T T"
Zr 0.000 0.000 0.000
Ta 1.616 0.000 2.353
Re 0.000 2.245 2.353
Re 1.616 2.245 0.000
```

## Properties
Energy of formation = -0.4 eV/f.u.
Space group = Pmmm
Energy = -45.67 eV for the cell shown

***

(6)
First-principles (PBE) data for a relaxed TbP2O2 crystal, as listed in Alexandria via LeMat-Bulk.

```
20
Lattice="-4.477 4.477 8.227 4.477 -4.477 8.227 4.477 4.477 -8.227" Properties=species:S:1:pos:R:3 pbc="T T T"
Tb 0.000 0.000 0.000
Tb 2.238 2.238 -4.113
Tb 2.238 -2.238 4.113
Tb 0.000 4.477 0.000
P 4.477 3.626 -5.438
P 1.388 2.238 -1.325
P 3.089 -2.238 6.902
P 4.477 -0.851 5.438
P 0.000 5.327 2.789
P 1.388 6.715 1.325
P 3.089 2.238 9.551
P 0.000 0.851 13.665
O 2.840 2.238 -1.960
O 6.113 2.238 -1.960
O 0.000 0.602 2.154
O 4.477 0.602 6.073
O 0.000 3.875 2.154
O 4.477 3.875 6.073
O -1.637 2.238 10.186
O 1.637 2.238 10.186
```

## Properties
Space group = I4_1/amd
Raw formation energy = -1.28 eV per atom
Energy = -127.04 eV for the cell shown

***

(7)
First-principles (PBE) data for a relaxed KUGeTe3 crystal, as listed in Alexandria via LeMat-Bulk.

```
12
Lattice="9.724 0.000 0.000 0.000 4.158 0.000 -3.729 0.000 9.280" Properties=species:S:1:pos:R:3 pbc="T T T"
K -0.863 1.039 2.580
K 6.859 3.118 6.700
U 2.083 3.118 6.704
U 3.913 1.039 2.576
Ge 3.941 3.118 0.235
Ge 2.055 1.039 9.044
Te 1.972 1.039 0.196
Te -0.026 1.039 6.161
Te 1.848 3.118 3.503
Te 4.148 1.039 5.777
Te 6.021 3.118 3.119
Te 4.023 3.118 9.084
```

## Properties
Space group = P2_1/m
Raw formation energy = -0.58 eV per atom
Energy = -59.78 eV for the cell shown

***

(8)
First-principles (PBE) data for a relaxed TaNi2Ag crystal, as listed in Alexandria via LeMat-Bulk.

```
4
Lattice="4.661 -1.394 0.000 4.661 1.394 0.000 -1.180 0.000 4.380" Properties=species:S:1:pos:R:3 pbc="T T T"
Ta 0.000 0.000 0.000
Ni 3.842 0.000 2.058
Ni 6.790 0.000 0.832
Ag 1.313 0.000 2.943
```

## Properties
Distance to the lowest polymorph of the same formula = 0.0689 eV per atom
Energy of formation = 0.2 eV/f.u.
Space group = Cm
Energy = -26.03 eV for the cell shown

***

(9)
First-principles (PBE) data for a relaxed NaTe3Mo crystal, as listed in Alexandria via LeMat-Bulk.

```
5
Lattice="5.404 0.000 0.000 0.000 5.404 0.000 0.000 0.000 5.404" Properties=species:S:1:pos:R:3 pbc="T T T"
Na 0.000 0.000 0.000
Te 0.000 2.702 2.702
Te 2.702 0.000 2.702
Te 2.702 2.702 0.000
Mo 2.702 2.702 2.702
```

## Properties
Distance to the lowest polymorph of the same formula = 0.0000 eV per atom
Space group = Pm-3m
Raw formation energy = 0.09 eV per atom
Energy = -21.13 eV for the cell shown

***

(10)
First-principles (PBE) data for a relaxed Cs6AgI crystal, as listed in Alexandria via LeMat-Bulk.

```
16
Lattice="9.450 0.000 0.000 -4.725 8.184 0.000 0.000 0.000 18.190" Properties=species:S:1:pos:R:3 pbc="T T T"
Cs -1.512 2.703 2.213
Cs -3.140 5.523 6.882
Cs 1.512 2.703 6.882
Cs -1.628 8.142 2.213
Cs 3.097 0.042 11.308
Cs 1.585 2.661 15.977
Cs 3.140 5.523 2.213
Cs 1.628 8.142 6.882
Cs 6.353 0.042 15.977
Cs 3.213 5.481 11.308
Cs 7.865 2.661 11.308
Cs 6.237 5.481 15.977
Ag 0.000 0.000 0.000
Ag 0.000 0.000 9.095
I 0.000 5.456 4.547
I 4.725 2.728 13.642
```

## Properties
Space group = P-31c
Raw formation energy = -0.33 eV per atom
Energy = -24.40 eV for the cell shown

***

(11)
First-principles (PBE) data for a relaxed Rb3ErO3 crystal, as listed in Alexandria via LeMat-Bulk.

```
14
Lattice="3.833 -6.251 0.000 3.833 6.251 0.000 -1.185 0.000 7.216" Properties=species:S:1:pos:R:3 pbc="T T T"
Rb 3.833 3.631 0.000
Rb 3.241 2.996 3.608
Rb 2.591 0.000 1.024
Rb 3.890 0.000 6.193
Rb 3.241 -2.996 3.608
Rb 3.833 -3.631 0.000
Er 0.582 0.000 4.690
Er 5.899 0.000 2.527
O 0.393 0.000 2.519
O 1.431 1.729 5.539
O 1.431 -1.729 5.539
O 5.051 1.729 1.678
O 5.051 -1.729 1.678
O 6.088 0.000 4.697
```

## Properties
Distance to the lowest polymorph of the same formula = 0.0112 eV per atom
Space group = C2/m
Raw formation energy = -1.93 eV per atom
Energy = -71.73 eV for the cell shown

***

(12)
First-principles (PBE) data for a relaxed NaSr2Tl7In2 crystal, as listed in Alexandria via LeMat-Bulk.

```
12
Lattice="3.399 -3.367 0.000 3.399 3.367 0.000 -1.980 0.000 16.554" Properties=species:S:1:pos:R:3 pbc="T T T"
Na 0.000 0.000 0.000
Sr 0.039 0.000 5.590
Sr 4.778 0.000 10.963
Tl 1.738 1.687 2.543
Tl 0.942 0.000 8.903
Tl 3.079 1.687 14.011
Tl 3.399 0.000 0.000
Tl 1.738 -1.687 2.543
Tl 3.875 0.000 7.651
Tl 3.079 -1.687 14.011
In 1.387 0.000 11.922
In 3.430 0.000 4.632
```

## Properties
Energy of formation = -2.0 eV/f.u.
Space group = C2/m
Energy = -28.71 eV for the cell shown

***

(13)
First-principles (PBE) data for a relaxed Sb2RuAu crystal, as listed in Alexandria via LeMat-Bulk.

```
4
Lattice="3.267 0.000 0.000 0.000 3.944 0.000 0.000 0.000 6.897" Properties=species:S:1:pos:R:3 pbc="T T T"
Sb 0.000 0.000 0.000
Sb 1.633 1.972 2.981
Ru 1.633 1.972 5.754
Au 0.000 0.000 4.148
```

## Properties
Distance to the lowest polymorph of the same formula = 0.1045 eV per atom
Space group = Pmm2
Raw formation energy = 0.16 eV per atom
Energy = -20.15 eV for the cell shown

***

(14)
First-principles (PBE) data for a relaxed TmThZnAg crystal, as listed in Alexandria via LeMat-Bulk.

```
4
Lattice="0.000 3.651 3.651 3.651 0.000 3.651 3.651 3.651 0.000" Properties=species:S:1:pos:R:3 pbc="T T T"
Tm 0.000 0.000 0.000
Th 3.651 3.651 3.651
Zn 1.825 1.825 1.825
Ag 5.476 5.476 5.476
```

## Properties
Energy of formation = -0.7 eV/f.u.
Space group = F-43m
Energy = -16.73 eV for the cell shown

***

(15)
First-principles (PBE) data for a relaxed TiTlN2F crystal, as listed in Alexandria via LeMat-Bulk.

```
5
Lattice="4.048 0.000 0.000 0.000 4.048 0.000 0.000 0.000 4.043" Properties=species:S:1:pos:R:3 pbc="T T T"
Ti 0.000 0.000 0.000
Tl 2.024 2.024 2.022
N 0.000 2.024 0.000
N 2.024 0.000 0.000
F 0.000 0.000 2.022
```

## Properties
Distance to the lowest polymorph of the same formula = 0.0000 eV per atom
Space group = P4/mmm
Raw formation energy = -0.62 eV per atom
Energy = -31.88 eV for the cell shown

***

(16)
First-principles (PBE) data for a relaxed Th2Ga5Ir5 crystal, as listed in Alexandria via LeMat-Bulk.

```
12
Lattice="4.271 0.000 0.000 0.000 5.421 0.000 0.000 0.000 9.377" Properties=species:S:1:pos:R:3 pbc="T T T"
Th 0.000 0.000 0.000
Th 0.000 2.711 4.688
Ga 2.136 0.000 4.688
Ga 2.136 1.351 2.247
Ga 2.136 1.351 7.129
Ga 2.136 4.071 2.247
Ga 2.136 4.071 7.129
Ir 0.000 0.000 3.052
Ir 0.000 0.000 6.324
Ir 0.000 2.711 1.810
Ir 0.000 2.711 7.567
Ir 2.136 2.711 0.000
```

## Properties
Energy of formation = -7.0 eV/f.u.
Space group = Pmmm
Energy = -81.31 eV for the cell shown

***

(17)
First-principles (PBE) data for a relaxed TaReTc2 crystal, as listed in Alexandria via LeMat-Bulk.

```
4
Lattice="3.134 0.000 0.000 0.000 3.134 0.000 0.000 0.000 6.360" Properties=species:S:1:pos:R:3 pbc="T T T"
Ta 0.000 0.000 0.000
Re 1.567 1.567 4.707
Tc 0.000 0.000 3.192
Tc 1.567 1.567 1.498
```

## Properties
Distance to the lowest polymorph of the same formula = 0.0206 eV per atom
Energy of formation = -0.2 eV/f.u.
Space group = P4mm
Energy = -45.26 eV for the cell shown

***

(18)
First-principles (PBE) data for a relaxed Pr2NdSm3 crystal, as listed in Alexandria via LeMat-Bulk.

```
12
Lattice="4.593 -5.027 0.000 4.593 5.027 0.000 -1.817 0.000 9.005" Properties=species:S:1:pos:R:3 pbc="T T T"
Pr 1.858 2.523 7.876
Pr 4.601 2.523 5.631
Pr 2.767 -2.523 3.374
Pr 5.510 -2.523 1.129
Nd 4.138 0.847 2.251
Nd 3.230 -0.847 6.754
Sm 4.138 4.200 2.251
Sm 1.393 0.839 4.506
Sm 2.302 -0.839 0.004
Sm 5.066 0.839 9.001
Sm 5.975 -0.839 4.499
Sm 3.230 -4.200 6.754
```

## Properties
Distance to the lowest polymorph of the same formula = 0.0000 eV per atom
Energy of formation = 0.3 eV/f.u.
Space group = C2/c
Energy = -56.29 eV for the cell shown

***

(19)
First-principles (PBE) data for a relaxed BaAl2Ag crystal, as listed in Alexandria via LeMat-Bulk.

```
8
Lattice="-2.603 2.603 9.078 2.603 -2.603 9.078 2.603 2.603 -9.078" Properties=species:S:1:pos:R:3 pbc="T T T"
Ba 2.603 1.301 2.270
Ba 0.000 1.301 6.809
Al 0.000 0.000 0.000
Al 1.301 1.301 -4.539
Al 1.301 -1.301 4.539
Al 0.000 2.603 0.000
Ag 2.603 -1.301 6.809
Ag 0.000 3.904 2.270
```

## Properties
Energy of formation = -0.2 eV/f.u.
Space group = I4_1/amd
Energy = -24.84 eV for the cell shown

***

(20)
First-principles (PBE) data for a relaxed AcZnSiI crystal, as listed in Alexandria via LeMat-Bulk.

```
8
Lattice="2.207 1.274 15.386 -2.207 1.274 15.386 0.000 -2.549 15.386" Properties=species:S:1:pos:R:3 pbc="T T T"
Ac 0.000 0.000 3.370
Ac 0.000 0.000 42.788
Zn 0.000 0.000 14.375
Zn 0.000 0.000 31.783
Si 0.000 0.000 16.982
Si 0.000 0.000 29.176
I 0.000 0.000 9.751
I 0.000 0.000 36.407
```

## Properties
Space group = R-3m
Raw formation energy = -0.75 eV per atom
Energy = -30.67 eV for the cell shown

***

(21)
First-principles (PBE) data for a relaxed CsRb6Au2 crystal, as listed in Alexandria via LeMat-Bulk.

```
9
Lattice="8.710 -2.270 0.000 8.710 2.270 0.000 -8.335 0.000 14.339" Properties=species:S:1:pos:R:3 pbc="T T T"
Cs 0.000 0.000 0.000
Rb -1.366 0.000 4.167
Rb 3.757 0.000 1.957
Rb 2.440 0.000 5.818
Rb 6.647 0.000 8.521
Rb 5.329 0.000 12.382
Rb 10.453 0.000 10.172
Au -0.825 0.000 11.304
Au 9.911 0.000 3.035
```

## Properties
Distance to the lowest polymorph of the same formula = 0.0072 eV per atom
Energy of formation = -1.1 eV/f.u.
Space group = C2/m
Energy = -14.28 eV for the cell shown

***

(22)
First-principles (PBE) data for a relaxed SmCo7C2 crystal, as listed in Alexandria via LeMat-Bulk.

```
10
Lattice="3.040 -5.176 0.000 3.040 5.176 0.000 0.000 0.000 3.918" Properties=species:S:1:pos:R:3 pbc="T T T"
Sm 0.000 0.000 0.000
Co 1.191 1.509 1.959
Co 3.040 2.112 0.000
Co 1.191 -1.509 1.959
Co 3.040 0.000 1.959
Co 4.889 1.509 1.959
Co 3.040 -2.112 0.000
Co 4.889 -1.509 1.959
C 3.040 2.017 1.959
C 3.040 -2.017 1.959
```

## Properties
Energy of formation = 2.7 eV/f.u.
Space group = Cmmm
Energy = -70.17 eV for the cell shown

***

(23)
First-principles (PBE) data for a relaxed SrAlAs3 crystal, as listed in Alexandria via LeMat-Bulk.

```
5
Lattice="4.978 0.000 0.000 0.000 4.978 0.000 0.000 0.000 4.978" Properties=species:S:1:pos:R:3 pbc="T T T"
Sr 0.000 0.000 0.000
Al 2.489 2.489 2.489
As 0.000 2.489 2.489
As 2.489 0.000 2.489
As 2.489 2.489 0.000
```

## Properties
Distance to the lowest polymorph of the same formula = 0.0000 eV per atom
Energy of formation = -1.0 eV/f.u.
Space group = Pm-3m
Energy = -20.37 eV for the cell shown